Version w
This record from the Alexandria database describes a geometry-optimized SmPuOs structure. The functional is PBE.

Lattice parameters (Å, degrees): 7.2666 9.2876 8.6261 122.57 114.91 90.00
Last column: nearest neighbours and their distance in Å.
Positions (direct):
Sm 0.7533 0.0400 0.5800  5 Os 3.05-3.18, 2 Pu 3.33
Sm 0.1733 0.9600 0.4200  5 Os 3.05-3.18, 2 Pu 3.33
Sm 0.3332 0.7500 0.0000  5 Os 3.05-3.18, 2 Pu 3.33
Sm 0.3331 0.2500 0.0000  5 Os 3.05-3.18, 2 Pu 3.33
Sm 0.1732 0.4600 0.4199  5 Os 3.05-3.18, 2 Pu 3.33
Sm 0.7533 0.5400 0.5801  5 Os 3.05-3.18, 2 Pu 3.33
Pu 0.0051 0.0000 0.0000  4 Os 2.77-2.96
Pu 0.0051 0.5000 0.0000  4 Os 2.77-2.96
Pu 0.5017 0.3741 0.7481  4 Os 2.77-2.96
Pu 0.7536 0.6259 0.2519  4 Os 2.77-2.96
Pu 0.7536 0.1260 0.2519  4 Os 2.77-2.96
Pu 0.5017 0.8740 0.7481  4 Os 2.77-2.96
Os 0.7530 0.2500 0.9999  6 Pu 2.96, 3 Sm 3.05
Os 0.7531 0.7500 0.0001  6 Pu 2.96, 3 Sm 3.05
Os 0.4198 0.1666 0.3331  3 Pu 2.77
Os 0.0868 0.8334 0.6669  3 Pu 2.77
Os 0.0868 0.3335 0.6669  3 Pu 2.77
Os 0.4198 0.6665 0.3331  3 Pu 2.77

Values from the calculation:
V = 425 Å³ per cell

Version x
This record from the Alexandria database describes a geometry-optimized SmPuOs structure. The functional is PBE.

Lattice parameters (Å, degrees): 3.4599 4.7720 4.7720 120.00 90.00 90.00
Last column: nearest neighbours and their distance in Å.
Positions (direct):
Os 0.1672 0.6667 0.3333  3 Pu 2.76
Sm 0.6667 0.3333 0.6667  6 Pu 3.25, 6 Os 3.25, 2 Sm 3.46
Pu 0.1661 0.0000 0.0000  3 Os 2.76

Values from the calculation:
V = 68 Å³ per cell

Order of stability, best first: version w, version x